Material: La2VCrN5
Method: DFT, PBE
State: optimized geometry

Geometry as CIF:
```
data_La2VCrN5
_symmetry_space_group_name_H-M 'C m c 21'
_symmetry_Int_Tables_number 36
_symmetry_space_group_name_Hall 'C 2c -2'
_cell_length_a 3.3574
_cell_length_b 14.1087
_cell_length_c 9.9519
_cell_angle_alpha 90.00
_cell_angle_beta 90.00
_cell_angle_gamma 90.00
loop_
_atom_site_label
_atom_site_type_symbol
_atom_site_fract_x
_atom_site_fract_y
_atom_site_fract_z
La1 La 0.0000 0.1240 0.0000
La2 La 0.0000 0.1323 0.6087
V1 V 0.0000 0.4362 0.7694
Cr1 Cr 0.0000 0.2172 0.3287
N1 N 0.0000 0.0458 0.3507
N2 N 0.0000 0.2964 0.9470
N3 N 0.0000 0.3150 0.6952
N4 N 0.0000 0.3374 0.3164
N5 N 0.0000 0.4963 0.6148
```

Calculated values
The formation energy (no corrections) is -1.006 eV/atom. The calculation puts the density of states at the Fermi level at 7.46 states/eV per cell. As for the total magnetization: 0.21 Bohr magnetons per cell. Its theoretical density is 6.35 g/cm³.

---

Material: LaPr2PuN4
Method: DFT, PBE
State: optimized geometry

Geometry as CIF:
```
data_LaPr2PuN4
_symmetry_space_group_name_H-M 'P 1 2/m 1'
_symmetry_Int_Tables_number 10
_symmetry_space_group_name_Hall '-P 2y'
_cell_length_a 6.2944
_cell_length_b 3.6471
_cell_length_c 6.3138
_cell_angle_alpha 90.00
_cell_angle_beta 109.25
_cell_angle_gamma 90.00
loop_
_atom_site_label
_atom_site_type_symbol
_atom_site_fract_x
_atom_site_fract_y
_atom_site_fract_z
La1 La 0.0000 0.0000 0.0000
Pr1 Pr 0.5000 0.0000 0.5000
Pr2 Pr 0.5000 0.5000 0.0000
Pu1 Pu 0.0000 0.5000 0.5000
N1 N 0.2305 0.0000 0.7288
N2 N 0.2380 0.5000 0.2647
```

Calculated values
The formation energy (no corrections) is -1.264 eV/atom. The calculation puts the density of states at the Fermi level at 8.31 states/eV per cell. As for the total magnetization: 4.64 Bohr magnetons per cell. Its theoretical density is 8.75 g/cm³.

---

Material: Pr2Rh17
Method: DFT, PBE
State: optimized geometry

Geometry as CIF:
```
data_Pr2Rh17
_symmetry_space_group_name_H-M 'R -3 m'
_symmetry_Int_Tables_number 166
_symmetry_space_group_name_Hall '-R 3 2"'
_cell_length_a 9.0461
_cell_length_b 9.0461
_cell_length_c 13.1580
_cell_angle_alpha 90.00
_cell_angle_beta 90.00
_cell_angle_gamma 120.00
loop_
_atom_site_label
_atom_site_type_symbol
_atom_site_fract_x
_atom_site_fract_y
_atom_site_fract_z
Pr1 Pr 0.0000 0.0000 0.1606
Rh1 Rh 0.0000 0.0000 0.3998
Rh2 Rh 0.0000 0.2950 0.5000
Rh3 Rh 0.0000 0.5000 0.0000
Rh4 Rh 0.0010 0.5005 0.6515
```

Calculated values
The calculation puts the density of states at the Fermi level at 100.86 states/eV per cell. As for the total magnetization: 0.11 Bohr magnetons per cell. Its energy of formation from the pure elements is -0.127 eV per atom. Its theoretical density is 10.85 g/cm³.

---

Material: Mg3In3Cu2Ir
Method: DFT, PBE
State: optimized geometry

Geometry as CIF:
```
data_Mg3In3Cu2Ir
_symmetry_space_group_name_H-M 'P -6 2 m'
_symmetry_Int_Tables_number 189
_symmetry_space_group_name_Hall 'P -6 -2'
_cell_length_a 7.7456
_cell_length_b 7.7456
_cell_length_c 3.2079
_cell_angle_alpha 90.00
_cell_angle_beta 90.00
_cell_angle_gamma 120.00
loop_
_atom_site_label
_atom_site_type_symbol
_atom_site_fract_x
_atom_site_fract_y
_atom_site_fract_z
Mg1 Mg 0.0000 0.7241 0.0000
In1 In 0.0000 0.3750 0.5000
Cu1 Cu 0.3333 0.6667 0.0000
Ir1 Ir 0.0000 0.0000 0.5000
```

Calculated values
The calculation puts the density of states at the Fermi level at 3.94 states/eV per cell. As for the total magnetization: 0.00 Bohr magnetons per cell. Its energy of formation from the pure elements is -0.132 eV per atom. Its theoretical density is 7.34 g/cm³.

---

Material: LiNd2Mg
Method: DFT, PBE
State: optimized geometry

Geometry as CIF:
```
data_LiNd2Mg
_symmetry_space_group_name_H-M 'R -3 m'
_symmetry_Int_Tables_number 166
_symmetry_space_group_name_Hall '-R 3 2"'
_cell_length_a 3.4455
_cell_length_b 3.4455
_cell_length_c 36.4800
_cell_angle_alpha 90.00
_cell_angle_beta 90.00
_cell_angle_gamma 120.00
loop_
_atom_site_label
_atom_site_type_symbol
_atom_site_fract_x
_atom_site_fract_y
_atom_site_fract_z
Li1 Li 0.0000 0.0000 0.0000
Nd1 Nd 0.0000 0.0000 0.0914
Mg1 Mg 0.0000 0.0000 0.5000
```

Calculated values
The calculation puts the density of states at the Fermi level at 12.41 states/eV per cell. As for the total magnetization: 0.00 Bohr magnetons per cell. Its energy above the most stable polymorph in this dataset is 178 meV per atom. Its energy of formation from the pure elements is 0.178 eV per atom. Its theoretical density is 4.25 g/cm³.

---

Material: AgTePbO4
Method: DFT, PBE
State: optimized geometry

Geometry as CIF:
```
data_AgTePbO4
_symmetry_space_group_name_H-M 'P 1 21/m 1'
_symmetry_Int_Tables_number 11
_symmetry_space_group_name_Hall '-P 2yb'
_cell_length_a 5.5620
_cell_length_b 6.1548
_cell_length_c 7.5732
_cell_angle_alpha 90.00
_cell_angle_beta 108.24
_cell_angle_gamma 90.00
loop_
_atom_site_label
_atom_site_type_symbol
_atom_site_fract_x
_atom_site_fract_y
_atom_site_fract_z
Ag1 Ag 0.1337 0.2500 0.4947
Te1 Te 0.2410 0.7500 0.3385
Pb1 Pb 0.3011 0.2500 0.0836
O1 O 0.0573 0.0011 0.2076
O2 O 0.4946 0.7500 0.5820
O3 O 0.4973 0.7500 0.2232
```

Calculated values
The formation energy (no corrections) is -0.665 eV/atom. The calculation puts the density of states at the Fermi level at 6.86 states/eV per cell. As for the total magnetization: 0.00 Bohr magnetons per cell. Its theoretical density is 6.83 g/cm³.